Entry 1:
# PSe3

A geometry-optimized PSe3 structure (GGA-PBE, Alexandria).

Geometry as POSCAR:
```
PSe3
1.0
5.5198 0.0000 0.0000
0.0000 5.5198 0.0000
0.0000 0.0000 5.5198
P Se
2 6
Direct
0.0000 0.0000 0.0000
0.5000 0.5000 0.5000
0.0000 0.0000 0.5000
0.0000 0.5000 0.0000
0.0000 0.5000 0.5000
0.5000 0.0000 0.0000
0.5000 0.0000 0.5000
0.5000 0.5000 0.0000
```

Output
The formation energy from raw total energies comes out at 0.28 eV per atom. The value obtained for the distance to the lowest polymorph of the same formula is 0.052 eV per atom. The total energy is -14.7 eV/f.u.


Entry 2:
# La2Ti2O5

A geometry-optimized La2Ti2O5 structure (GGA-PBE, Alexandria).

Geometry as POSCAR:
```
La2Ti2O5
1.0
-2.7651 7.8932 2.8053
2.7651 -7.8932 2.8053
2.7651 7.8932 -2.8053
La Ti O
4 4 10
Direct
0.1307 0.0041 0.1266
0.3775 0.0041 0.3734
0.6225 0.9959 0.6266
0.8693 0.9959 0.8734
0.0000 0.5000 0.5000
0.2324 0.4824 0.7500
0.5000 0.5000 0.0000
0.7676 0.5176 0.2500
0.0684 0.4417 0.6268
0.2665 0.0000 0.7665
0.2665 0.5000 0.2665
0.3149 0.4417 0.8732
0.5000 0.0000 0.0000
0.5000 0.5000 0.5000
0.6851 0.5583 0.1268
0.7335 0.0000 0.2335
0.7335 0.5000 0.7335
0.9316 0.5583 0.3732
```

Output
The formation energy from raw total energies comes out at -2.93 eV per atom. The total energy is -76.8 eV/f.u.


Entry 3:
# Ba3Pb3Au

A geometry-optimized Ba3Pb3Au structure (GGA-PBE, Alexandria).

Geometry as POSCAR:
```
Ba3Pb3Au
1.0
6.2970 -2.6094 0.0000
6.2970 2.6094 0.0000
-6.1915 0.0000 16.0393
Ba Pb Au
6 6 2
Direct
0.0468 0.0468 0.3858
0.0963 0.0963 0.9204
0.2487 0.2487 0.2371
0.7513 0.7513 0.7629
0.9037 0.9037 0.0796
0.9532 0.9532 0.6142
0.3618 0.3618 0.4650
0.3850 0.3850 0.9231
0.4591 0.4591 0.7657
0.5409 0.5409 0.2343
0.6150 0.6150 0.0769
0.6382 0.6382 0.5350
0.2439 0.2439 0.6122
0.7561 0.7561 0.3878
```

Output
The value obtained for the formation energy is -576 meV per atom. The total energy is -24.2 eV/f.u.


Number 2 is which compound? La2Ti2O5